(1)
# Ce2Y3TmS6

An optimized crystal structure of Ce2Y3TmS6 (PBE-GGA, Alexandria via LeMat-Bulk).

Calculated total energy in eV per atom: -7.05
DOS(E_F) in states/eV/cell: 12.790
Uncorrected formation energy in eV per formula unit: -24.1

POSCAR file:
```
Ce2Y3TmS6
1.0
3.926 0.000 0.000
0.000 7.918 0.274
-1.963 -2.291 8.284
Ce Tm Y S
2 1 3 6
Direct
0.832 0.664 0.665
0.168 0.336 0.335
0.500 0.000 0.000
0.500 0.500 0.000
0.832 0.168 0.663
0.168 0.832 0.337
0.998 0.243 0.995
0.002 0.757 0.005
0.336 0.925 0.672
0.664 0.590 0.327
0.664 0.075 0.328
0.336 0.410 0.673
```

***

(2)
# Th6HgTe5

An optimized crystal structure of Th6HgTe5 (PBE-GGA, Alexandria via LeMat-Bulk).

Calculated total energy in eV per atom: -5.92
DOS(E_F) in states/eV/cell: 10.282
Uncorrected formation energy in eV per formula unit: -10.5

POSCAR file:
```
Th6HgTe5
1.0
7.585 0.214 1.168
1.814 6.603 3.836
0.100 0.144 7.736
Th Te Hg
6 5 1
Direct
0.740 0.768 0.000
0.760 0.077 0.328
0.760 0.405 0.672
0.260 0.232 0.000
0.240 0.595 0.328
0.240 0.923 0.672
0.500 0.500 0.000
0.500 0.175 0.650
0.000 0.340 0.320
0.000 0.660 0.680
0.500 0.825 0.350
0.000 0.000 0.000
```

***

(3)
# Pr4Zn3Cu5

An optimized crystal structure of Pr4Zn3Cu5 (PBE-GGA, Alexandria via LeMat-Bulk).

Formation energy in kJ/mol of formula units: -135
Calculated total energy in eV per atom: -3.73
DOS(E_F) in states/eV/cell: 8.792

POSCAR file:
```
Pr4Zn3Cu5
1.0
4.500 0.000 0.000
2.250 7.230 -0.646
2.250 1.645 8.066
Cu Pr Zn
5 4 3
Direct
0.283 0.417 0.017
0.500 0.500 0.500
0.717 0.583 0.983
0.402 0.083 0.113
0.598 0.917 0.887
0.268 0.721 0.744
0.732 0.279 0.256
0.987 0.223 0.804
0.013 0.777 0.196
0.294 0.992 0.419
0.000 0.500 0.500
0.706 0.008 0.581
```